(1)
VASP calculation (PBE) on crystalline Nd2GdH at its relaxed geometry.

a b c (Å): 3.4351 3.4351 8.7068
angles (deg): 90.00 90.00 90.00
Last column: nearest neighbours and their distance in Å.
Element x y z (fractional)
Nd1 0.0000 0.0000 0.8119  4 H 2.93, 1 Nd 3.28
Nd2 0.0000 0.0000 0.1881  4 H 2.93, 1 Nd 3.28
Gd1 0.5000 0.5000 0.5000  4 Gd 3.44, 8 Nd 3.64
H1 0.5000 0.5000 0.0000  8 Nd 2.93

Results
- space group = P4/mmm
- E (eV/cell) = -26.6
- total magnetization (μB/cell) = 7.14
- density (Mg/m³) = 7.22
- excess energy over the best structure of this formula in the dataset (eV per atom) = 0.243



(2)
VASP calculation (PBE) on crystalline Ta2AlRh at its relaxed geometry.

a b c (Å): 4.9657 4.9657 2.8449
angles (deg): 90.00 90.00 111.23
Last column: nearest neighbours and their distance in Å.
Element x y z (fractional)
Rh1 0.0000 0.5000 0.5000  2 Al 2.80, 2 Rh 2.84, 8 Ta 2.86
Al1 0.5000 0.0000 0.5000  2 Rh 2.80, 2 Al 2.84, 8 Ta 2.86
Ta1 0.5000 0.5000 0.0000  4 Ta 2.80-2.84, 4 Al 2.86, 4 Rh 2.86
Ta2 0.0000 0.0000 0.0000  4 Ta 2.80-2.84, 4 Rh 2.86, 4 Al 2.86

Results
- DFT formation energy (meV/atom) = -335
- space group = Cmmm
- E (eV/cell) = -36.1
- total magnetization (μB/cell) = 0.00
- density (Mg/m³) = 12.49



(3)
VASP calculation (PBE) on crystalline NaBePO2 at its relaxed geometry.

a b c (Å): 3.9490 3.9490 5.2166
angles (deg): 90.00 90.00 90.00
Last column: nearest neighbours and their distance in Å.
Element x y z (fractional)
O1 0.5000 0.0000 0.0000  2 Na 1.97
O2 0.0000 0.5000 0.0000  2 Na 1.97
Be1 0.5000 0.5000 0.5000  4 P 2.79
Na1 0.0000 0.0000 0.0000  4 O 1.97
P1 0.0000 0.0000 0.5000  2 Na 2.61, 4 Be 2.79

Results
- energy relative to the elements, uncorrected (eV per atom) = 1.11
- space group = P4/mmm
- E (eV/cell) = -14.8
- total magnetization (μB/cell) = 2.51
- density (Mg/m³) = 1.94
- excess energy over the best structure of this formula in the dataset (eV per atom) = 1.296



(4)
VASP calculation (PBE) on crystalline YRhC at its relaxed geometry.

a b c (Å): 3.7931 4.6115 6.4732
angles (deg): 75.61 90.04 65.69
Last column: nearest neighbours and their distance in Å.
Element x y z (fractional)
Rh1 0.8394 0.3423 0.7966  1 C 2.08
Rh2 0.1308 0.7600 0.6137  1 C 2.08
Y1 0.5872 0.8467 0.0029  5 C 2.60-2.69, 3 Rh 2.80-2.86
Y2 0.3830 0.2555 0.4074  5 C 2.60-2.69, 3 Rh 2.80-2.86
C1 0.0617 0.8977 0.2797  1 C 1.38
C2 0.9085 0.2045 0.1305  1 C 1.38

Results
- DFT formation energy (meV/atom) = -288
- space group = C2/m
- E (eV/cell) = -47.8
- total magnetization (μB/cell) = 0.00
- density (Mg/m³) = 6.82
- excess energy over the best structure of this formula in the dataset (eV per atom) = 0.069



(5)
VASP calculation (PBE) on crystalline Fe2NiRh at its relaxed geometry.

a b c (Å): 4.5598 4.5598 4.5598
angles (deg): 132.94 132.94 68.75
Last column: nearest neighbours and their distance in Å.
Element x y z (fractional)
Fe1 0.0000 0.0000 0.0000  4 Ni 2.57, 4 Rh 2.62, 4 Fe 2.62
Fe2 0.2500 0.7500 0.5000  4 Rh 2.57, 4 Fe 2.62, 4 Ni 2.62
Rh1 0.7500 0.2500 0.5000  8 Fe 2.57-2.62, 4 Ni 2.62
Ni1 0.5000 0.5000 0.0000  8 Fe 2.57-2.62, 4 Rh 2.62

Results
- DFT formation energy (meV/atom) = -16
- space group = I-4m2
- E (eV/cell) = -30.1
- total magnetization (μB/cell) = 6.89
- density (Mg/m³) = 9.10



(6)
VASP calculation (PBE) on crystalline Pr2Nd4Y7 at its relaxed geometry.

a b c (Å): 6.2756 8.1134 9.5908
angles (deg): 114.92 90.02 82.47
Last column: nearest neighbours and their distance in Å.
Element x y z (fractional)
Nd1 0.6925 0.8482 0.2313  7 Y 3.61-3.65, 2 Nd 3.61-3.64, 3 Pr 3.62-3.64
Nd2 0.3856 0.6927 0.4628  8 Y 3.61-3.65, 3 Nd 3.61-3.64, 1 Pr 3.64
Nd3 0.3075 0.1518 0.7687  7 Y 3.61-3.65, 2 Nd 3.61-3.64, 3 Pr 3.62-3.64
Nd4 0.6144 0.3073 0.5372  8 Y 3.61-3.65, 3 Nd 3.61-3.64, 1 Pr 3.64
Y1 0.9226 0.4601 0.3085  6 Y 3.59-3.63, 4 Nd 3.61-3.65, 2 Pr 3.63-3.65
Y2 0.4609 0.2302 0.1546  6 Y 3.60-3.63, 4 Nd 3.61-3.64, 2 Pr 3.63-3.64
Y3 0.0000 0.0000 0.0000  8 Y 3.61-3.63, 2 Nd 3.62, 2 Pr 3.62
Y4 0.5391 0.7698 0.8454  6 Y 3.60-3.63, 4 Nd 3.61-3.64, 2 Pr 3.63-3.64
Y5 0.0774 0.5399 0.6915  6 Y 3.59-3.63, 4 Nd 3.61-3.65, 2 Pr 3.63-3.65
Y6 0.1533 0.0784 0.3838  5 Y 3.59-3.65, 6 Nd 3.62-3.65, 1 Pr 3.63
Y7 0.8467 0.9216 0.6162  5 Y 3.59-3.65, 6 Nd 3.62-3.65, 1 Pr 3.63
Pr1 0.7695 0.3842 0.9235  6 Y 3.62-3.65, 4 Nd 3.62-3.64, 2 Pr 3.62-3.63
Pr2 0.2305 0.6158 0.0765  6 Y 3.62-3.65, 4 Nd 3.62-3.64, 2 Pr 3.62-3.63

Results
- DFT formation energy (meV/atom) = 14
- space group = P-1
- E (eV/cell) = -73.7
- total magnetization (μB/cell) = 0.00
- density (Mg/m³) = 5.61



(7)
VASP calculation (PBE) on crystalline NaBeW2 at its relaxed geometry.

a b c (Å): 3.7255 3.7255 10.1229
angles (deg): 79.40 79.40 90.00
Last column: nearest neighbours and their distance in Å.
Element x y z (fractional)
W1 0.6052 0.1250 0.2500  4 W 2.53-2.74, 2 Be 2.75, 2 Na 2.80
W2 0.3750 0.3948 0.7500  4 W 2.53-2.74, 2 Be 2.75, 2 Na 2.80
W3 0.1448 0.6250 0.2500  4 W 2.53-2.74, 2 Be 2.75, 2 Na 2.80
W4 0.8750 0.8552 0.7500  4 W 2.53-2.74, 2 Be 2.75, 2 Na 2.80
Na1 0.0000 0.0000 0.0000  4 Be 2.63, 4 W 2.80
Na2 0.7500 0.2500 0.5000  4 Be 2.63, 4 W 2.80
Be1 0.2500 0.7500 0.5000  4 Na 2.63, 4 W 2.75
Be2 0.5000 0.5000 0.0000  4 Na 2.63, 4 W 2.75

Results
- DFT formation energy (meV/atom) = 1327
- space group = I-42d
- E (eV/cell) = -51.3
- total magnetization (μB/cell) = 0.00
- density (Mg/m³) = 9.78
- excess energy over the best structure of this formula in the dataset (eV per atom) = 0.000



(8)
VASP calculation (PBE) on crystalline NaAsCSe2 at its relaxed geometry.

a b c (Å): 4.8893 4.8893 4.0485
angles (deg): 90.00 90.00 90.00
Last column: nearest neighbours and their distance in Å.
Element x y z (fractional)
Na1 0.5000 0.5000 0.5000  8 Se 3.17, 4 As 3.46
C1 0.0000 0.0000 0.0000  2 As 2.02
As1 0.0000 0.0000 0.5000  2 C 2.02
Se1 0.5000 0.0000 0.0000  2 C 2.44
Se2 0.0000 0.5000 0.0000  2 C 2.44

Results
- energy relative to the elements, uncorrected (eV per atom) = 0.70
- space group = P4/mmm
- E (eV/cell) = -18.7
- total magnetization (μB/cell) = 0.00
- density (Mg/m³) = 4.60
- excess energy over the best structure of this formula in the dataset (eV per atom) = 0.000